Sr6MgIn5 after structural relaxation, computed with PBE-GGA.

Summary:
Magnetic moment, μB/cell: 0.0
Energy of formation, kJ/mol of formula units: -437.3
V, Å³/cell: 408.9

Structure (POSCAR):
```
Sr6MgIn5
1.0
5.502 0.023 -1.606
-1.139 7.290 -3.797
-0.083 0.449 9.957
Sr Mg In
6 1 5
Cartesian
3.859 4.541 3.062 Sr
4.424 0.923 4.946 Sr
1.820 5.892 6.325 Sr
2.460 1.871 -1.771 Sr
-0.143 6.839 -0.392 Sr
0.421 3.222 1.492 Sr
0.000 0.000 0.000 Mg
3.430 1.341 1.547 In
1.401 2.739 4.840 In
-0.569 3.645 -1.898 In
2.880 5.023 -0.286 In
0.850 6.421 3.007 In
```

---

Sr2MgIn12 after structural relaxation, computed with PBE-GGA.

Summary:
Magnetic moment, μB/cell: 0.0
Energy of formation, kJ/mol of formula units: -240.8
V, Å³/cell: 871.9

Structure (POSCAR):
```
Sr2MgIn12
1.0
7.048 0.000 0.000
0.000 7.048 0.000
0.000 0.000 17.555
Sr Mg In
4 2 24
Cartesian
3.524 0.000 4.301 Sr
0.000 3.524 4.301 Sr
0.000 3.524 13.254 Sr
3.524 0.000 13.254 Sr
3.524 0.000 0.000 Mg
0.000 3.524 0.000 Mg
3.524 3.524 14.297 In
0.000 0.000 14.297 In
5.286 5.285 15.981 In
1.763 5.286 15.981 In
0.000 0.000 6.098 In
1.761 5.285 1.574 In
5.878 2.354 9.993 In
3.524 3.524 6.098 In
1.761 1.763 15.981 In
5.285 5.286 1.574 In
2.354 1.170 9.993 In
4.694 1.170 7.562 In
0.000 0.000 11.456 In
1.170 2.354 7.562 In
1.763 1.761 1.574 In
5.878 4.694 7.562 In
4.694 5.878 9.993 In
0.000 0.000 3.258 In
1.170 4.694 9.993 In
3.524 3.524 11.456 In
5.285 1.761 15.981 In
3.524 3.524 3.258 In
2.354 5.878 7.562 In
5.286 1.763 1.574 In
```

---

Sr3MgIn after structural relaxation, computed with PBE-GGA.

Summary:
Magnetic moment, μB/cell: 0.0
Energy of formation, kJ/mol of formula units: 50.5
V, Å³/cell: 261.5

Structure (POSCAR):
```
Sr3MgIn
1.0
-0.456 -5.792 -2.672
1.899 -2.681 5.487
-6.090 -0.402 1.911
Sr Mg In
3 1 1
Cartesian
0.950 -1.341 2.743 Sr
-3.045 -0.201 0.956 Sr
-0.228 -2.896 -1.336 Sr
-2.323 -4.438 2.363 Mg
0.000 0.000 0.000 In
```

---

Sr3Mg4In4 after structural relaxation, computed with PBE-GGA.

Summary:
Magnetic moment, μB/cell: 0.0
Energy of formation, kJ/mol of formula units: -325.6
V, Å³/cell: 326.5

Structure (POSCAR):
```
Sr3Mg4In4
1.0
-3.679 2.051 -2.451
-5.350 -4.079 4.616
4.405 7.229 4.283
Sr Mg In
3 4 4
Cartesian
-0.027 1.554 1.342 Sr
-4.596 3.647 5.106 Sr
-2.675 -2.039 2.308 Sr
0.948 4.858 2.641 Mg
-3.532 1.900 2.045 Mg
-5.572 0.344 3.806 Mg
-1.092 3.302 4.402 Mg
-2.723 0.696 4.669 In
-1.901 4.506 1.778 In
-6.199 -2.298 2.536 In
-2.830 0.271 -0.371 In
```

---

SrMg2In2 after structural relaxation, computed with PBE-GGA.

Summary:
Magnetic moment, μB/cell: 0.0
Energy of formation, kJ/mol of formula units: -137.5
V, Å³/cell: 142.4

Structure (POSCAR):
```
SrMg2In2
1.0
4.690 -0.001 0.003
-0.001 4.690 0.003
-2.341 -2.341 6.470
Sr Mg In
1 2 2
Cartesian
0.000 0.000 0.000 Sr
2.348 0.000 3.238 Mg
0.000 2.348 3.238 Mg
2.346 2.346 1.434 In
0.001 0.001 5.042 In
```

---

Sr2MgIn after structural relaxation, computed with PBE-GGA.

Summary:
Magnetic moment, μB/cell: 0.0
Energy of formation, kJ/mol of formula units: -97.2
V, Å³/cell: 140.5

Structure (POSCAR):
```
Sr2MgIn
1.0
4.148 0.000 0.000
0.000 4.089 -0.009
0.000 4.095 8.274
Sr Mg In
2 1 1
Cartesian
0.000 4.091 0.074 Sr
0.000 4.091 4.050 Sr
2.074 6.139 6.199 Mg
2.074 2.046 2.066 In
```

---

SrMg2In2 after structural relaxation, computed with PBE-GGA.

Summary:
Magnetic moment, μB/cell: 0.0
Energy of formation, kJ/mol of formula units: -70.0
V, Å³/cell: 280.0

Structure (POSCAR):
```
SrMg2In2
1.0
8.813 0.000 0.000
0.000 8.813 0.000
0.000 0.000 3.605
Sr Mg In
2 4 4
Cartesian
0.000 0.000 0.000 Sr
4.407 4.407 0.000 Sr
1.402 5.808 1.803 Mg
5.808 7.412 1.803 Mg
7.412 3.005 1.803 Mg
3.005 1.402 1.803 Mg
3.223 7.629 0.000 In
7.629 5.591 0.000 In
5.591 1.184 0.000 In
1.184 3.223 0.000 In
```

---

SrMg4In12 after structural relaxation, computed with PBE-GGA.

Summary:
Magnetic moment, μB/cell: 0.0
Energy of formation, kJ/mol of formula units: 155.3
V, Å³/cell: 509.9

Structure (POSCAR):
```
SrMg4In12
1.0
8.717 0.000 0.000
-2.906 8.218 0.000
-2.906 -4.109 7.117
Sr Mg In
1 4 12
Cartesian
0.000 0.000 0.000 Sr
-1.453 4.109 0.000 Mg
4.359 0.000 0.000 Mg
1.453 2.055 3.559 Mg
-1.453 -2.055 3.559 Mg
5.765 2.087 1.428 In
1.166 3.544 1.094 In
4.645 -1.390 4.595 In
0.046 -1.829 6.024 In
-1.740 5.500 2.522 In
1.740 0.566 6.024 In
2.952 -0.193 2.522 In
-0.046 4.302 4.596 In
2.859 5.938 1.094 In
4.072 3.285 3.502 In
-1.166 0.825 3.616 In
-2.859 2.022 5.689 In
```

---

What is the formula in the second record? Sr2MgIn12

---

Among the records above, which one has the highest energy of formation? SrMg4In12

---

Among the records above, which one has the lowest V? Sr2MgIn